The following is a DFT calculation (GGA-PBE) of crystalline K3OsO6F2 at its relaxed geometry.

Results
E_form (uncorrected) = -112.36 kJ per mole of atoms

```
data_K3OsO6F2
_chemical_formula_sum 'K6 Os2 O12 F4'
_cell_length_a 14.301
_cell_length_b 7.510
_cell_length_c 3.915
_cell_angle_alpha 90.00
_cell_angle_beta 97.20
_cell_angle_gamma 90.00
_symmetry_space_group_name_H-M 'C 1 2/m 1'
_symmetry_Int_Tables_number 12
loop_
_symmetry_equiv_pos_as_xyz
'x,y,z'
'-x,-y,-z'
'-x,y,-z'
'x,-y,z'
'x+1/2,y+1/2,z'
'-x+1/2,-y+1/2,-z'
'-x+1/2,y+1/2,-z'
'x+1/2,-y+1/2,z'
loop_
_atom_site_label
_atom_site_type_symbol
_atom_site_fract_x
_atom_site_fract_y
_atom_site_fract_z
K1 K 0.000 0.000 0.000
K2 K 0.250 0.250 0.500
Os1 Os 0.000 0.500 0.500
O1 O 0.061 0.326 0.277
O2 O 0.102 0.500 0.862
F1 F 0.182 0.000 0.915
```



The following is a DFT calculation (GGA-PBE) of crystalline Pm2Sm3Se6 at its relaxed geometry.

Results
E_form (uncorrected) = -182.42 kJ per mole of atoms
Energy above the most stable polymorph in this dataset = 0.0000 eV/atom

```
data_Pm2Sm3Se6
_chemical_formula_sum 'Pm4 Sm6 Se12'
_cell_length_a 7.235
_cell_length_b 12.481
_cell_length_c 7.202
_cell_angle_alpha 90.00
_cell_angle_beta 109.49
_cell_angle_gamma 90.00
_symmetry_space_group_name_H-M 'C 1 2/m 1'
_symmetry_Int_Tables_number 12
loop_
_symmetry_equiv_pos_as_xyz
'x,y,z'
'-x,-y,-z'
'-x,y,-z'
'x,-y,z'
'x+1/2,y+1/2,z'
'-x+1/2,-y+1/2,-z'
'-x+1/2,y+1/2,-z'
'x+1/2,-y+1/2,z'
loop_
_atom_site_label
_atom_site_type_symbol
_atom_site_fract_x
_atom_site_fract_y
_atom_site_fract_z
Pm1 Pm 0.000 0.165 0.000
Sm1 Sm 0.000 0.000 0.500
Sm2 Sm 0.000 0.335 0.500
Se1 Se 0.246 0.500 0.754
Se2 Se 0.248 0.335 0.250
```